Here is a crystal of Rb3NaC relaxed with PBEsol from Alexandria via LeMat-Bulk. Energies are from meta-GGA SCAN.

Structure (extended XYZ):
```
5
Lattice="7.1279 0.0000 0.0000 0.0000 7.1279 0.0000 0.0000 0.0000 7.1279" Properties=species:S:1:pos:R:3 pbc="T T T"
Na 0.0000 0.0000 0.0000
C 3.5640 3.5640 3.5640
Rb 0.0000 3.5640 0.0000
Rb 0.0000 0.0000 3.5640
Rb 3.5640 0.0000 0.0000
```

Summary:
Space-group type: No. 221
Fermi-level density of states (states/eV/atom): 0.4393
Density (Mg/m³): 1.3
DFT formation energy (eV/atom): 1.346